# 1
The following is a PBE calculation of crystalline Tm6NiRh at its relaxed geometry, from Alexandria via LeMat-Bulk.

Calculated values
As for the crystal system: monoclinic. For the density of states at the Fermi level, the calculation gives 0.973 states/eV/atom. The magnetization comes out at 0.000 μB per atom. As for the formation energy: -0.28 eV per atom.

Cell: 6.5596 6.5646 6.3501 Å, 58.88 79.95 70.26°
Positions (direct):
Rh1 0.5000 0.5000 0.0000
Tm1 0.2476 0.9316 0.6534
Tm2 0.7555 0.7497 0.0000
Tm3 0.2476 0.5850 0.3466
Tm4 0.7524 0.4150 0.6534
Tm5 0.7524 0.0684 0.3466
Tm6 0.2445 0.2503 0.0000
Ni1 0.0000 0.0000 0.0000

---

# 2
The following is a PBE calculation of crystalline TcOs2 at its relaxed geometry, from Alexandria via LeMat-Bulk.

Calculated values
As for the crystal system: trigonal. For the density of states at the Fermi level, the calculation gives 1.105 states/eV/atom. The magnetization comes out at 0.000 μB per atom. As for the formation energy: 0.11 eV per atom.

Cell: 2.7326 2.7326 6.6917 Å, 90.00 90.00 120.00°
Positions (direct):
Os1 0.0000 0.0000 0.0007
Os2 0.3333 0.6667 0.6659
Tc1 0.6667 0.3333 0.3333

---

# 3
The following is a PBE calculation of crystalline Tm2InNi at its relaxed geometry, from Alexandria via LeMat-Bulk.

Calculated values
As for the crystal system: cubic. For the density of states at the Fermi level, the calculation gives 0.978 states/eV/atom. The magnetization comes out at 0.000 μB per atom. As for the formation energy: -0.34 eV per atom.

Cell: 5.0223 5.0223 5.0223 Å, 60.00 60.00 60.00°
Positions (direct):
Tm1 0.7500 0.7500 0.7500
Tm2 0.2500 0.2500 0.2500
In1 0.0000 0.0000 0.0000
Ni1 0.5000 0.5000 0.5000

---

# 4
The following is a PBE calculation of crystalline RbTcAg2Ir at its relaxed geometry, from Alexandria via LeMat-Bulk.

Calculated values
As for the crystal system: tetragonal. For the density of states at the Fermi level, the calculation gives 0.991 states/eV/atom. The magnetization comes out at 0.812 μB per atom. As for the formation energy: 2.59 eV per atom.

Cell: 5.3103 4.9368 5.3103 Å, 90.00 90.00 90.00°
Each line ends with the local moment (μB).
Positions (direct):
Rb1 0.0000 0.0000 0.0000  -0.02
Tc1 0.5000 0.5000 0.5000  3.58
Ag1 0.0000 0.0000 0.5000  -0.04
Ag2 0.5000 0.0000 0.0000  -0.02
Ir1 0.0000 0.5000 0.0000  0.15

---

# 5
The following is a PBE calculation of crystalline CsYAu3 at its relaxed geometry, from Alexandria via LeMat-Bulk.

Calculated values
As for the crystal system: cubic. For the density of states at the Fermi level, the calculation gives 0.505 states/eV/atom. The magnetization comes out at 0.000 μB per atom. As for the formation energy: 0.99 eV per atom.

Cell: 5.7977 5.7977 5.7977 Å, 90.00 90.00 90.00°
Positions (direct):
Cs1 0.0000 0.0000 0.0000
Y1 0.5000 0.5000 0.5000
Au1 0.0000 0.5000 0.0000
Au2 0.5000 0.0000 0.0000
Au3 0.0000 0.0000 0.5000

---

# 6
The following is a PBE calculation of crystalline Li2AcTl2 at its relaxed geometry, from Alexandria via LeMat-Bulk.

Calculated values
As for the crystal system: monoclinic. For the density of states at the Fermi level, the calculation gives 0.671 states/eV/atom. The magnetization comes out at 0.000 μB per atom. As for the formation energy: -0.25 eV per atom.

Cell: 4.7341 4.7051 7.6373 Å, 107.49 89.95 120.12°
Positions (direct):
Li1 0.3153 0.6304 0.4460
Li2 0.6847 0.3696 0.5540
Ac1 0.5000 0.0000 0.0000
Tl1 0.9302 0.8605 0.2935
Tl2 0.0698 0.1395 0.7065

---

# 7
The following is a PBE calculation of crystalline BaScIn2 at its relaxed geometry, from Alexandria via LeMat-Bulk.

Calculated values
As for the crystal system: orthorhombic. For the density of states at the Fermi level, the calculation gives 1.084 states/eV/atom. The magnetization comes out at 0.000 μB per atom. As for the formation energy: -0.10 eV per atom.

Cell: 6.6704 6.6704 6.6704 Å, 146.77 131.11 60.40°
Positions (direct):
Ba1 0.2389 0.7389 0.5000
In1 0.9746 0.9746 0.0000
In2 0.7689 0.2689 0.5000
Sc1 0.5176 0.5176 0.0000

---

# 8
The following is a PBE calculation of crystalline Ca2Pm at its relaxed geometry, from Alexandria via LeMat-Bulk.

Calculated values
As for the crystal system: cubic. For the density of states at the Fermi level, the calculation gives 2.115 states/eV/atom. The magnetization comes out at 0.445 μB per atom. As for the formation energy: 0.30 eV per atom.

Cell: 7.0178 7.0178 7.0178 Å, 60.00 60.00 60.00°
Each line ends with the local moment (μB).
Positions (direct):
Pm1 0.0000 0.0000 0.0000  -0.42
Pm2 0.2500 0.2500 0.2500  -0.42
Ca1 0.6250 0.6250 0.1250  -0.02
Ca2 0.6250 0.1250 0.6250  -0.02
Ca3 0.1250 0.6250 0.6250  -0.02
Ca4 0.6250 0.6250 0.6250  -0.02

---

# 9
The following is a PBE calculation of crystalline SrCe2Se4 at its relaxed geometry, from Alexandria via LeMat-Bulk.

Calculated values
As for the crystal system: tetragonal. For the density of states at the Fermi level, the calculation gives 2.021 states/eV/atom. As for the formation energy without anion corrections: -1.88 eV/atom. The magnetization comes out at 0.286 μB per atom.

Cell: 7.8471 7.8471 7.8471 Å, 109.44 109.44 109.54°
Each line ends with the local moment (μB).
Positions (direct):
Se1 0.8844 0.6334 0.4035  -0.02
Se2 0.8834 0.6344 0.9035  -0.02
Se3 0.3656 0.2691 0.2490  -0.02
Se4 0.3666 0.7701 0.2510  -0.02
Se5 0.2299 0.4809 0.5965  -0.02
Se6 0.0201 0.1166 0.7510  -0.02
Se7 0.5191 0.1156 0.7490  -0.02
Se8 0.7309 0.9799 0.0965  -0.02
Ce1 0.9980 0.3750 0.1230  0.96
Ce2 0.6250 0.7480 0.6230  0.96
Ce3 0.1250 0.0020 0.3770  0.96
Ce4 0.2520 0.8750 0.8770  0.96
Sr1 0.7500 0.2500 0.5000  0.00
Sr2 0.5000 0.5000 0.0000  0.00

---

# 10
The following is a PBE calculation of crystalline Ti4CuAg at its relaxed geometry, from Alexandria via LeMat-Bulk.

Calculated values
As for the crystal system: tetragonal. For the density of states at the Fermi level, the calculation gives 0.533 states/eV/atom. The magnetization comes out at 0.000 μB per atom. As for the formation energy: -0.08 eV per atom.

Cell: 2.9440 2.9440 11.3728 Å, 90.00 90.00 90.00°
Positions (direct):
Ti1 0.5000 0.5000 0.8177
Ti2 0.0000 0.0000 0.6531
Ti3 0.0000 0.0000 0.3469
Ti4 0.5000 0.5000 0.1823
Ag1 0.0000 0.0000 0.0000
Cu1 0.5000 0.5000 0.5000

---

# 11
The following is a PBE calculation of crystalline Nb3CoCl at its relaxed geometry, from Alexandria via LeMat-Bulk.

Calculated values
As for the crystal system: cubic. For the density of states at the Fermi level, the calculation gives 1.652 states/eV/atom. As for the formation energy without anion corrections: 0.95 eV/atom. The magnetization comes out at 0.000 μB per atom.

Cell: 4.5030 4.5030 4.5030 Å, 90.00 90.00 90.00°
Positions (direct):
Nb1 0.5000 0.0000 0.0000
Nb2 0.0000 0.0000 0.5000
Nb3 0.0000 0.5000 0.0000
Co1 0.5000 0.5000 0.5000
Cl1 0.0000 0.0000 0.0000

---

# 12
The following is a PBE calculation of crystalline LaPuZn4 at its relaxed geometry, from Alexandria via LeMat-Bulk.

Calculated values
As for the crystal system: tetragonal. For the density of states at the Fermi level, the calculation gives 2.344 states/eV/atom. The magnetization comes out at 1.122 μB per atom. As for the formation energy: -0.16 eV per atom.

Cell: 4.2058 4.2058 8.3032 Å, 104.67 104.67 90.00°
Each line ends with the local moment (μB).
Positions (direct):
Pu1 0.0000 0.0000 0.0000  -5.51
Zn1 0.8343 0.3343 0.6687  -0.03
Zn2 0.5804 0.5804 0.1608  -0.04
Zn3 0.6657 0.1657 0.3313  -0.03
Zn4 0.4196 0.4196 0.8392  -0.04
La1 0.2500 0.7500 0.5000  -0.12